No. 1
Below is an optimized crystal structure of CoGeHPd2, with properties calculated at the PBE level.

Properties
As for the space group: P4/mmm (123). Its calculated volume is 58.2 Å³ per cell. As for the uncorrected energy: -5.2214 eV/atom. The magnetic moment is 0.000 μB per atom. The density of states at the Fermi level comes out at 2.02 states/eV/cell. For the density, the calculation gives 9.853 g cm⁻³.

a b c (Å): 3.926 3.926 3.777
angles (deg): 90.00 90.00 90.00
Fractional positions:
Co (0.000, 0.000, 0.000)
Ge (0.500, 0.500, 0.000)
H (0.000, 0.000, 0.500)
Pd (0.000, 0.500, 0.500)
Pd (0.500, 0.000, 0.500)

=====

No. 2
Below is an optimized crystal structure of TaOs4W, with properties calculated at the PBE level.

Properties
As for the space group: Cmc2_1 (36). Its calculated volume is 209.0 Å³ per cell. The calculated formation energy is 0.41 eV per atom. The magnetic moment is 0.000 μB per atom. The density of states at the Fermi level comes out at 7.27 states/eV/cell. For the density, the calculation gives 17.889 g cm⁻³. The calculation puts the polymorph energy (0 for the lowest one) at 0.183 eV per atom.

a b c (Å): 9.282 9.282 5.394
angles (deg): 90.00 90.00 153.28
Fractional positions:
Ta (0.064, 0.936, 0.500)
Ta (0.936, 0.064, 0.000)
Os (0.078, 0.922, 0.990)
Os (0.209, 0.791, 0.583)
Os (0.217, 0.783, 0.084)
Os (0.346, 0.654, 0.827)
Os (0.654, 0.346, 0.327)
Os (0.783, 0.217, 0.584)
Os (0.791, 0.209, 0.083)
Os (0.922, 0.078, 0.490)
W (0.349, 0.651, 0.333)
W (0.651, 0.349, 0.833)

=====

No. 3
Below is an optimized crystal structure of YTeO2F, with properties calculated at the PBE level.

Properties
As for the space group: P4/mmm (123). Its calculated volume is 85.8 Å³ per cell. The raw formation energy is -1.795 eV per atom. The magnetic moment is 0.000 μB per atom. The density of states at the Fermi level comes out at 2.73 states/eV/cell. For the density, the calculation gives 5.179 g cm⁻³.

a b c (Å): 4.490 4.490 4.254
angles (deg): 90.00 90.00 90.00
Fractional positions:
Y (0.000, 0.000, 0.000)
Te (0.500, 0.500, 0.500)
O (0.000, 0.500, 0.000)
O (0.500, 0.000, 0.000)
F (0.000, 0.000, 0.500)

=====

No. 4
Below is an optimized crystal structure of AcYB, with properties calculated at the PBE level.

Properties
As for the space group: C2/m (12). Its calculated volume is 167.6 Å³ per cell. The calculated formation energy is 0.03 eV per atom. The magnetic moment is 0.000 μB per atom. The density of states at the Fermi level comes out at 7.53 states/eV/cell. For the density, the calculation gives 6.473 g cm⁻³.

a b c (Å): 7.067 7.067 7.305
angles (deg): 92.91 92.91 27.39
Fractional positions:
Ac (0.151, 0.151, 0.171)
Ac (0.849, 0.849, 0.829)
Y (0.108, 0.108, 0.656)
Y (0.892, 0.892, 0.344)
B (0.271, 0.271, 0.500)
B (0.729, 0.729, 0.500)

=====

No. 5
Below is an optimized crystal structure of AlTl2Zn, with properties calculated at the PBE level.

Properties
As for the space group: Immm (71). Its calculated volume is 95.8 Å³ per cell. The calculated formation energy is 0.26 eV per atom. The magnetic moment is 0.000 μB per atom. The density of states at the Fermi level comes out at 1.55 states/eV/cell. For the density, the calculation gives 8.688 g cm⁻³.

a b c (Å): 5.496 5.496 5.496
angles (deg): 134.22 124.34 74.84
Fractional positions:
Al (0.000, 0.000, 0.000)
Tl (0.254, 0.754, 0.500)
Tl (0.746, 0.246, 0.500)
Zn (0.500, 0.500, 0.000)

=====

No. 6
Below is an optimized crystal structure of Cs2VOsBr, with properties calculated at the PBE level.

Properties
As for the space group: P4/mmm (123). Its calculated volume is 217.0 Å³ per cell. The raw formation energy is 0.492 eV per atom. The magnetic moment is 0.385 μB per atom. The density of states at the Fermi level comes out at 3.24 states/eV/cell. For the density, the calculation gives 4.492 g cm⁻³.

a b c (Å): 6.913 6.913 4.540
angles (deg): 90.00 90.00 90.00
Fractional positions:
Cs (0.000, 0.500, 0.000)
Cs (0.500, 0.000, 0.000)
V (0.000, 0.000, 0.500)
Os (0.000, 0.000, 0.000)
Br (0.500, 0.500, 0.500)

=====

No. 7
Below is an optimized crystal structure of Mg6ZnFe, with properties calculated at the PBE level.

Properties
As for the space group: Amm2 (38). Its calculated volume is 154.9 Å³ per cell. The calculated formation energy is 0.12 eV per atom. The magnetic moment is 0.305 μB per atom. The density of states at the Fermi level comes out at 4.38 states/eV/cell. For the density, the calculation gives 2.862 g cm⁻³. The calculation puts the polymorph energy (0 for the lowest one) at 0.000 eV per atom.

a b c (Å): 4.834 6.079 6.079
angles (deg): 60.15 90.00 90.00
Fractional positions:
Mg (0.000, 0.000, 0.000)
Mg (0.000, 0.506, 0.981)
Mg (0.000, 0.981, 0.506)
Mg (0.500, 0.169, 0.169)
Mg (0.500, 0.179, 0.665)
Mg (0.500, 0.665, 0.179)
Zn (0.000, 0.512, 0.512)
Fe (0.500, 0.665, 0.665)

=====

No. 8
Below is an optimized crystal structure of Th3Sb4Pd3, with properties calculated at the PBE level.

Properties
As for the space group: I-43d (220). Its calculated volume is 489.5 Å³ per cell. The raw formation energy is -1.049 eV per atom. The magnetic moment is 0.000 μB per atom. For the density, the calculation gives 10.193 g cm⁻³.

a b c (Å): 8.599 8.599 8.599
angles (deg): 109.47 109.47 109.47
Fractional positions:
Th (0.125, 0.875, 0.250)
Th (0.250, 0.125, 0.875)
Th (0.375, 0.625, 0.750)
Th (0.625, 0.750, 0.375)
Th (0.750, 0.375, 0.625)
Th (0.875, 0.250, 0.125)
Sb (0.000, 0.170, 0.500)
Sb (0.000, 0.670, 0.500)
Sb (0.170, 0.500, 0.000)
Sb (0.330, 0.330, 0.330)
Sb (0.500, 0.000, 0.170)
Sb (0.500, 0.000, 0.670)
Sb (0.670, 0.500, 0.000)
Sb (0.830, 0.830, 0.830)
Pd (0.125, 0.750, 0.875)
Pd (0.250, 0.625, 0.375)
Pd (0.375, 0.250, 0.625)
Pd (0.625, 0.375, 0.250)
Pd (0.750, 0.875, 0.125)
Pd (0.875, 0.125, 0.750)

=====

No. 9
Below is an optimized crystal structure of PrIn5Rh6, with properties calculated at the PBE level.

Properties
As for the space group: Cmmm (65). Its calculated volume is 213.9 Å³ per cell. The calculated formation energy is -0.48 eV per atom. The magnetic moment is 0.000 μB per atom. The density of states at the Fermi level comes out at 2.57 states/eV/cell. For the density, the calculation gives 10.343 g cm⁻³.

a b c (Å): 7.254 7.254 6.782
angles (deg): 90.00 90.00 143.17
Fractional positions:
Pr (0.000, 0.000, 0.000)
In (0.000, 0.000, 0.500)
In (0.332, 0.668, 0.000)
In (0.334, 0.666, 0.500)
In (0.666, 0.334, 0.500)
In (0.668, 0.332, 0.000)
Rh (0.172, 0.828, 0.258)
Rh (0.172, 0.828, 0.742)
Rh (0.500, 0.500, 0.269)
Rh (0.500, 0.500, 0.731)
Rh (0.828, 0.172, 0.258)
Rh (0.828, 0.172, 0.742)

=====

No. 10
Below is an optimized crystal structure of NaNbZn, with properties calculated at the PBE level.

Properties
As for the space group: Pnma (62). Its calculated volume is 231.9 Å³ per cell. The calculated formation energy is 0.22 eV per atom. The magnetic moment is 0.000 μB per atom. The density of states at the Fermi level comes out at 6.68 states/eV/cell. For the density, the calculation gives 5.194 g cm⁻³. The calculation puts the polymorph energy (0 for the lowest one) at 0.122 eV per atom.

a b c (Å): 8.374 2.612 10.600
angles (deg): 90.00 90.00 90.00
Fractional positions:
Na (0.166, 0.250, 0.082)
Na (0.334, 0.750, 0.582)
Na (0.666, 0.250, 0.418)
Na (0.834, 0.750, 0.918)
Nb (0.055, 0.250, 0.382)
Nb (0.445, 0.750, 0.882)
Nb (0.555, 0.250, 0.118)
Nb (0.945, 0.750, 0.618)
Zn (0.155, 0.250, 0.796)
Zn (0.345, 0.750, 0.296)
Zn (0.655, 0.250, 0.704)
Zn (0.845, 0.750, 0.204)

=====

No. 11
Below is an optimized crystal structure of Ca2Cu, with properties calculated at the PBE level.

Properties
As for the space group: Fd-3m (227). Its calculated volume is 693.5 Å³ per cell. The calculated formation energy is -0.02 eV per atom. The magnetic moment is 0.000 μB per atom. The density of states at the Fermi level comes out at 17.03 states/eV/cell. For the density, the calculation gives 2.753 g cm⁻³.

a b c (Å): 9.935 9.935 9.935
angles (deg): 60.00 60.00 60.00
Fractional positions:
Ca (0.000, 0.000, 0.000)
Ca (0.000, 0.000, 0.500)
Ca (0.000, 0.500, 0.000)
Ca (0.183, 0.183, 0.567)
Ca (0.183, 0.567, 0.183)
Ca (0.183, 0.567, 0.567)
Ca (0.433, 0.433, 0.817)
Ca (0.433, 0.817, 0.433)
Ca (0.433, 0.817, 0.817)
Ca (0.500, 0.000, 0.000)
Ca (0.567, 0.183, 0.183)
Ca (0.567, 0.183, 0.567)
Ca (0.567, 0.567, 0.183)
Ca (0.817, 0.433, 0.433)
Ca (0.817, 0.433, 0.817)
Ca (0.817, 0.817, 0.433)
Cu (0.170, 0.776, 0.776)
Cu (0.224, 0.224, 0.224)
Cu (0.224, 0.224, 0.830)
Cu (0.224, 0.830, 0.224)
Cu (0.776, 0.170, 0.776)
Cu (0.776, 0.776, 0.170)
Cu (0.776, 0.776, 0.776)
Cu (0.830, 0.224, 0.224)

=====

No. 12
Below is an optimized crystal structure of Ag2Te2O5, with properties calculated at the PBE level.

Properties
As for the space group: Ima2 (46). Its calculated volume is 298.3 Å³ per cell. The raw formation energy is -0.674 eV per atom. The magnetic moment is 0.000 μB per atom. The density of states at the Fermi level comes out at 0.00 states/eV/cell. For the density, the calculation gives 6.133 g cm⁻³.

a b c (Å): 8.138 8.138 8.138
angles (deg): 71.78 133.91 128.25
Fractional positions:
Ag (0.017, 0.121, 0.138)
Ag (0.017, 0.379, 0.396)
Ag (0.983, 0.621, 0.604)
Ag (0.983, 0.879, 0.862)
Te (0.444, 0.444, 0.000)
Te (0.444, 0.944, 0.500)
Te (0.567, 0.819, 0.247)
Te (0.572, 0.319, 0.753)
O (0.180, 0.140, 0.539)
O (0.271, 0.592, 0.966)
O (0.271, 0.805, 0.179)
O (0.441, 0.185, 0.381)
O (0.441, 0.560, 0.757)
O (0.601, 0.640, 0.461)
O (0.626, 0.092, 0.821)
O (0.626, 0.305, 0.034)
O (0.803, 0.060, 0.619)
O (0.803, 0.685, 0.243)